Compound: Y2HoZn
Source: Alexandria
Functional: GGA-PBE
Structure: optimized geometry

excess energy over the best structure of this formula in the dataset: 0 meV/atom
SG: P4/mmm
ΔH_f (0 K): -0.1620 eV/atom
spin magnetization: 0.000 μB per formula unit

Unit cell a=3.569 b=3.569 c=8.636 alpha=90.00 beta=90.00 gamma=90.00
Element x y z (fractional)
Y 0.000 0.000 0.207
Y 0.000 0.000 0.793
Ho 0.500 0.500 0.500
Zn 0.500 0.500 0.000

***

Compound: TiBr2
Source: Alexandria
Functional: GGA-PBE
Structure: optimized geometry

SG: C2/m
spin magnetization: 0.000 μB per formula unit
E_form (uncorrected): -1129 meV/atom

Unit cell a=7.704 b=7.704 c=6.228 alpha=100.32 beta=100.32 gamma=25.74
Element x y z (fractional)
Ti 0.248 0.248 0.310
Ti 0.752 0.752 0.690
Br 0.153 0.153 0.871
Br 0.378 0.378 0.645
Br 0.622 0.622 0.355
Br 0.847 0.847 0.129

***

Compound: LiZr3Ru
Source: Alexandria
Functional: GGA-PBE
Structure: optimized geometry

excess energy over the best structure of this formula in the dataset: 525 meV/atom
SG: Pm-3m
ΔH_f (0 K): 0.8838 eV/atom
spin magnetization: 0.000 μB per formula unit

Unit cell a=4.590 b=4.590 c=4.590 alpha=90.00 beta=90.00 gamma=90.00
Element x y z (fractional)
Li 0.000 0.000 0.000
Zr 0.000 0.000 0.500
Zr 0.000 0.500 0.000
Zr 0.500 0.000 0.000
Ru 0.500 0.500 0.500

***

Number 1: D(E_F) 4.4 states/eV/cell, calculated volume 110.0 Å³/cell. Number 2: D(E_F) 0.8 states/eV/cell, calculated volume 157.8 Å³/cell. Number 3: D(E_F) 7.1 states/eV/cell, calculated volume 96.7 Å³/cell.